# 1
## YReP2 (SCAN)

Data for a crystal of YReP2 relaxed with PBEsol.

Properties
As for the mass density: 8.4 g/cm³. The calculation puts the formation energy from the elements at -0.819 eV per atom. The calculation puts the energy relative to the lowest polymorph listed for this composition at 0 meV/atom.

The structure in POSCAR format:
```
YReP2
1.0
4.069 0.000 0.000
2.035 3.524 0.000
2.035 1.175 4.620
Y Re P
1 1 2
Cartesian
4.069 2.349 2.310
0.000 0.000 0.000
2.035 1.175 0.684
6.104 3.524 3.936
```

---

# 2
## YRe2P (SCAN)

Data for a crystal of YRe2P relaxed with PBEsol.

Properties
As for the mass density: 12.2 g/cm³. The calculation puts the formation energy from the elements at 0.166 eV per atom.

The structure in POSCAR format:
```
YRe2P
1.0
4.829 0.000 0.000
0.000 3.642 0.780
0.000 -0.779 3.642
P Re Y
1 2 1
Cartesian
2.415 1.431 2.211
0.000 1.821 0.390
0.000 -0.390 1.821
2.415 0.000 0.000
```

---

# 3
## YReP2 (SCAN)

Data for a crystal of YReP2 relaxed with PBEsol.

Properties
As for the mass density: 8.3 g/cm³. The calculation puts the formation energy from the elements at -0.771 eV per atom. The calculation puts the energy relative to the lowest polymorph listed for this composition at 48 meV/atom.

The structure in POSCAR format:
```
YReP2
1.0
3.358 0.000 0.000
-1.679 3.564 0.017
0.000 -1.640 5.642
Y Re P
1 1 2
Cartesian
1.679 0.000 0.000
0.000 -0.820 2.821
1.679 0.580 3.921
0.000 1.344 1.737
```

---

# 4
## YReP2 (SCAN)

Data for a crystal of YReP2 relaxed with PBEsol.

Properties
As for the mass density: 8.3 g/cm³. The calculation puts the formation energy from the elements at -0.673 eV per atom. The calculation puts the energy relative to the lowest polymorph listed for this composition at 146 meV/atom.

The structure in POSCAR format:
```
YReP2
1.0
3.161 0.000 0.000
0.000 3.419 0.000
-1.581 -1.709 6.277
Y Re P
1 1 2
Cartesian
0.000 1.709 2.530
0.000 0.000 5.704
0.000 0.000 0.392
1.581 0.000 3.929
```

---

# 5
## ZnRe3P (SCAN)

Data for a crystal of ZnRe3P relaxed with PBEsol.

Properties
As for the mass density: 13.4 g/cm³. The calculation puts the formation energy from the elements at 1.035 eV per atom.

The structure in POSCAR format:
```
ZnRe3P
1.0
-0.613 3.356 2.670
-4.214 0.029 -1.003
-0.795 -2.739 3.261
Re Zn P
3 1 1
Cartesian
-2.107 0.014 -0.502
-0.397 -1.369 1.630
-0.306 1.678 1.335
-2.811 0.323 2.464
0.000 0.000 0.000
```

---

# 6
## ZnRe2P (SCAN)

Data for a crystal of ZnRe2P relaxed with PBEsol.

Properties
As for the mass density: 14.0 g/cm³. The calculation puts the formation energy from the elements at 0.231 eV per atom.

The structure in POSCAR format:
```
ZnRe2P
1.0
2.910 0.000 0.000
0.000 4.611 0.041
-1.455 -1.479 4.141
P Re Zn
1 2 1
Cartesian
0.000 2.306 0.021
0.000 0.432 2.347
1.455 2.700 1.835
1.455 0.000 0.000
```